The following is a SCAN calculation of a PBEsol-optimized structure of Y2AsSe, from Alexandria via LeMat-Bulk.

Unit cell a=7.0162 b=7.0162 c=7.0162 alpha=33.51 beta=33.51 gamma=33.51
Closest atoms and distances in Å follow each position.
Atoms (fractional coordinates):
Y 0.2465 0.2465 0.2465  3 As 2.82, 3 Se 2.90
Y 0.7535 0.7535 0.7535  3 As 2.82, 3 Se 2.90
As 0.5000 0.5000 0.5000  6 Y 2.82
Se 0.0000 0.0000 0.0000  6 Y 2.90

Computed properties:
* SG: R-3m, No. 166
* ΔE to the lowest computed polymorph: 0 meV/atom
* formation energy from raw total energies: -45.01 kcal/mol of atoms

---

The following is a SCAN calculation of a PBEsol-optimized structure of TcP2WO, from Alexandria via LeMat-Bulk.

Unit cell a=4.7474 b=4.7474 c=3.6868 alpha=90.00 beta=90.00 gamma=90.00
Closest atoms and distances in Å follow each position.
Atoms (fractional coordinates):
Tc 0.0000 0.0000 0.0000  8 P 3.01, 4 O 3.36
P 0.0000 0.5000 0.5000  2 W 2.37
P 0.5000 0.0000 0.5000  2 W 2.37
W 0.5000 0.5000 0.5000  2 O 1.84
O 0.5000 0.5000 0.0000  2 W 1.84

Computed properties:
* SG: P4/mmm, No. 123
* formation energy from raw total energies: 4.20 kcal/mol of atoms

---

The following is a SCAN calculation of a PBEsol-optimized structure of MgInCu2, from Alexandria via LeMat-Bulk.

Unit cell a=5.0797 b=5.0797 c=4.3828 alpha=112.44 beta=112.44 gamma=36.91
Closest atoms and distances in Å follow each position.
Atoms (fractional coordinates):
Mg 0.0000 0.0000 0.0000  7 Cu 2.72-2.86, 4 In 2.93-2.94
In 0.2219 0.2219 0.6947  7 Cu 2.73-2.93, 4 Mg 2.93-2.94
Cu 0.4722 0.4722 0.4774  2 Cu 2.48, 4 Mg 2.72-2.74, 2 In 2.73
Cu 0.7605 0.7605 0.2281  2 Cu 2.48, 4 In 2.74

Computed properties:
* energy relative to the elements: -0.055 eV/atom
* SG: Cm, No. 8

---

The following is a SCAN calculation of a PBEsol-optimized structure of CoSiF3, from Alexandria via LeMat-Bulk.

Unit cell a=4.0683 b=4.0683 c=4.0683 alpha=90.00 beta=90.00 gamma=90.00
Closest atoms and distances in Å follow each position.
Atoms (fractional coordinates):
Co 0.0000 0.0000 0.0000  12 F 2.88
Si 0.5000 0.5000 0.5000  6 F 2.03
F 0.0000 0.5000 0.5000  2 Si 2.03
F 0.5000 0.0000 0.5000  2 Si 2.03
F 0.5000 0.5000 0.0000  2 Si 2.03

Computed properties:
* SG: Pm-3m, No. 221
* formation energy from raw total energies: -20.28 kcal/mol of atoms

---

The following is a SCAN calculation of a PBEsol-optimized structure of In2CoWSe, from Alexandria via LeMat-Bulk.

Unit cell a=5.3004 b=5.3004 c=4.3848 alpha=90.00 beta=90.00 gamma=90.00
Closest atoms and distances in Å follow each position.
Atoms (fractional coordinates):
In 0.0000 0.5000 0.0000  2 W 2.65
In 0.5000 0.0000 0.0000  2 W 2.65
Co 0.0000 0.0000 0.5000  2 W 2.19
W 0.0000 0.0000 0.0000  2 Co 2.19
Se 0.5000 0.5000 0.5000  8 In 3.44, 4 Co 3.75

Computed properties:
* SG: P4/mmm, No. 123
* formation energy from raw total energies: 26.34 kcal/mol of atoms

---

The following is a SCAN calculation of a PBEsol-optimized structure of Li2TaW, from Alexandria via LeMat-Bulk.

Unit cell a=2.6209 b=2.6209 c=10.0716 alpha=90.00 beta=90.00 gamma=111.91
Closest atoms and distances in Å follow each position.
Atoms (fractional coordinates):
Li 0.0000 0.0000 0.2421  6 Li 2.62-2.93, 2 W 2.85
Li 0.0000 0.0000 0.7579  6 Li 2.62-2.93, 2 W 2.85
Ta 0.5000 0.5000 0.5000  6 Ta 2.62-2.93
W 0.5000 0.5000 0.0000  6 W 2.62-2.93, 4 Li 2.85

Computed properties:
* energy relative to the elements: 0.460 eV/atom
* SG: Cmmm, No. 65
* ΔE to the lowest computed polymorph: 207 meV/atom

---

The following is a SCAN calculation of a PBEsol-optimized structure of Nb2AlNi2, from Alexandria via LeMat-Bulk.

Unit cell a=6.6241 b=6.6241 c=3.2876 alpha=90.00 beta=90.00 gamma=90.00
Closest atoms and distances in Å follow each position.
Atoms (fractional coordinates):
Nb 0.1744 0.3256 0.0000  6 Ni 2.49-2.60
Nb 0.3256 0.8256 0.0000  6 Ni 2.49-2.60
Nb 0.6744 0.1744 0.0000  6 Ni 2.49-2.60
Nb 0.8256 0.6744 0.0000  6 Ni 2.49-2.60
Al 0.0000 0.0000 0.5000  4 Ni 2.61
Al 0.5000 0.5000 0.5000  4 Ni 2.61
Ni 0.1263 0.6263 0.5000  1 Ni 2.37, 6 Nb 2.49-2.60, 2 Al 2.61
Ni 0.3737 0.1263 0.5000  1 Ni 2.37, 6 Nb 2.49-2.60, 2 Al 2.61
Ni 0.6263 0.8737 0.5000  1 Ni 2.37, 6 Nb 2.49-2.60, 2 Al 2.61
Ni 0.8737 0.3737 0.5000  1 Ni 2.37, 6 Nb 2.49-2.60, 2 Al 2.61

Computed properties:
* energy relative to the elements: -0.335 eV/atom
* SG: P4/mbm, No. 127

---

The following is a SCAN calculation of a PBEsol-optimized structure of ZrRh2W, from Alexandria via LeMat-Bulk.

Unit cell a=3.2608 b=3.2608 c=6.0303 alpha=90.00 beta=90.00 gamma=90.00
Closest atoms and distances in Å follow each position.
Atoms (fractional coordinates):
Zr 0.0000 0.0000 0.0000  5 Rh 2.69-3.01, 4 W 2.97
Rh 0.0000 0.0000 0.4993  4 W 2.58, 4 Rh 2.82
Rh 0.5000 0.5000 0.2296  4 Zr 2.69, 1 W 2.77, 4 Rh 2.82
W 0.5000 0.5000 0.6895  5 Rh 2.58-2.77

Computed properties:
* energy relative to the elements: -0.272 eV/atom
* SG: P4mm, No. 99
* ΔE to the lowest computed polymorph: 82 meV/atom

---

The following is a SCAN calculation of a PBEsol-optimized structure of Tm3Ge4, from Alexandria via LeMat-Bulk.

Unit cell a=5.5761 b=5.5761 c=13.9558 alpha=90.00 beta=90.00 gamma=138.60
Closest atoms and distances in Å follow each position.
Atoms (fractional coordinates):
Tm 0.0458 0.9542 0.7500  7 Ge 2.81-3.11
Tm 0.3302 0.6698 0.5972  8 Ge 2.91-3.02
Tm 0.3302 0.6698 0.9028  8 Ge 2.91-3.02
Tm 0.6698 0.3302 0.0972  8 Ge 2.91-3.02
Tm 0.6698 0.3302 0.4028  8 Ge 2.91-3.02
Tm 0.9542 0.0458 0.2500  7 Ge 2.81-3.11
Ge 0.0000 0.0000 0.0000  4 Ge 2.78, 4 Tm 2.98
Ge 0.0000 0.0000 0.5000  4 Ge 2.78, 4 Tm 2.98
Ge 0.2240 0.7760 0.2500  2 Ge 2.57, 1 Tm 2.81
Ge 0.3804 0.6196 0.1081  3 Ge 2.57-2.78
Ge 0.3804 0.6196 0.3919  3 Ge 2.57-2.78
Ge 0.6196 0.3804 0.6081  3 Ge 2.57-2.78
Ge 0.6196 0.3804 0.8919  3 Ge 2.57-2.78
Ge 0.7760 0.2240 0.7500  2 Ge 2.57, 1 Tm 2.81

Computed properties:
* energy relative to the elements: -0.838 eV/atom
* SG: Cmcm, No. 63

---

The following is a SCAN calculation of a PBEsol-optimized structure of Co3Ir, from Alexandria via LeMat-Bulk.

Unit cell a=4.3417 b=4.3417 c=2.5632 alpha=90.00 beta=90.00 gamma=108.65
Closest atoms and distances in Å follow each position.
Atoms (fractional coordinates):
Co 0.0000 0.0000 0.0000  10 Co 2.52-2.56, 2 Ir 2.53
Co 0.0000 0.5000 0.5000  8 Co 2.52-2.56, 4 Ir 2.52
Co 0.5000 0.0000 0.5000  8 Co 2.52-2.56, 4 Ir 2.52
Ir 0.5000 0.5000 0.0000  10 Co 2.52-2.53, 2 Ir 2.56

Computed properties:
* energy relative to the elements: 0.027 eV/atom
* SG: Cmmm, No. 65

---

Calculated total magnetic moment (Bohr magnetons per cell), listed in the same order as above: 0.00 3.67 0.00 3.61 0.42 0.00 0.00 0.00 0.00 6.18
Calculated raw total energy (eV/atom), listed in the same order as above: -25.94 -26.17 -17.24 -8.47 -33.63 -34.80 -21.61 -42.25 -33.96 -30.73